(1)
Li2NpCrO6 | GGA+U | optimized geometry

a = 5.261 Å, b = 5.444 Å, c = 7.666 Å
α = 90.00°, β = 89.98°, γ = 90.00°
Each line ends with the local moment (μB).
Sites, in units of the cell vectors:
Li 0.496 0.525 0.749  0.00
Li 0.504 0.475 0.251  0.00
Li 0.996 0.975 0.249  0.00
Li 0.004 0.025 0.751  0.00
Np 0.500 0.000 0.500  0.18
Np 0.000 0.500 0.000  0.18
O 0.382 0.950 0.752  -0.03
O 0.118 0.450 0.748  -0.03
O 0.180 0.185 0.061  -0.03
O 0.618 0.050 0.248  -0.03
O 0.320 0.686 0.061  -0.03
O 0.180 0.186 0.439  -0.03
O 0.680 0.314 0.939  -0.03
O 0.680 0.315 0.561  -0.03
O 0.820 0.815 0.939  -0.03
O 0.820 0.814 0.561  -0.03
O 0.320 0.685 0.439  -0.03
O 0.882 0.550 0.252  -0.03
Cr 0.500 0.000 0.000  2.91
Cr 0.000 0.500 0.500  2.91

The calculation puts the density at 6.03 g/cm³. Its crystal system is monoclinic.

(2)
LiNpCr2O6 | GGA+U | optimized geometry

a = 5.300 Å, b = 5.301 Å, c = 5.612 Å
α = 61.83°, β = 61.83°, γ = 59.99°
Each line ends with the local moment (μB).
Sites, in units of the cell vectors:
O 0.392 0.738 0.738  -0.04
O 0.637 0.227 0.250  -0.03
O 0.132 0.392 0.738  -0.04
O 0.227 0.886 0.250  -0.03
O 0.886 0.637 0.250  -0.03
O 0.738 0.132 0.738  -0.04
Np 0.814 0.814 0.558  0.00
Li 0.305 0.305 0.085  0.00
Cr 0.512 0.512 0.463  3.01
Cr 0.018 0.018 0.947  3.09

The calculation puts the density at 6.44 g/cm³. Its crystal system is trigonal.

no.,total DFT energy (no corrections) (eV for the cell shown)
1,-153.007
2,-81.591